(1)
Compound: As3Cl
Source: Alexandria
Functional: PBE-GGA
Structure: relaxed

Cell: 5.8632 5.8632 5.8632 Å, 146.19 132.56 59.52°
Atoms (fractional coordinates):
As 0.0000 0.0000 0.0000
As 0.2059 0.7059 0.5000
As 0.7941 0.2941 0.5000
Cl 0.5000 0.5000 0.0000

Output
- electronic total energy (eV per atom) = -3.616
- Fermi-level density of states (states/eV per cell) = 2.0



(2)
Compound: TlSb2Mo
Source: Alexandria
Functional: PBE-GGA
Structure: relaxed

Cell: 3.1238 3.1238 10.5629 Å, 90.00 90.00 103.93°
Atoms (fractional coordinates):
Tl 0.0000 0.0000 0.0000
Sb 0.0000 0.0000 0.4037
Sb 0.5000 0.5000 0.7346
Mo 0.5000 0.5000 0.2178

Output
- electronic total energy (eV per atom) = -4.860
- Fermi-level density of states (states/eV per cell) = 3.7